No. 1
First-principles (PBE-GGA) data for HoTmCdNi after structural relaxation, as listed in Alexandria.

## Properties
**Energy relative to the lowest polymorph listed for this composition**: 0.109 eV per atom
**Mass density**: 9.5 g/cm3

```
data_HoTmCdNi
_cell_length_a 5.006
_cell_length_b 5.006
_cell_length_c 5.006
_cell_angle_alpha 60.00
_cell_angle_beta 60.00
_cell_angle_gamma 60.00
_space_group_name_H-M_alt 'P 1'
_space_group_IT_number 1
loop_
_space_group_symop_operation_xyz
'x,y,z'
loop_
_atom_site_label
_atom_site_type_symbol
_atom_site_fract_x
_atom_site_fract_y
_atom_site_fract_z
_atom_site_occupancy
Tm1 Tm 0.500 0.500 0.500 1
Ho1 Ho 0.000 0.000 0.000 1
Ni1 Ni 0.250 0.250 0.250 1
Cd1 Cd 0.750 0.750 0.750 1
```

No. 2
First-principles (PBE-GGA) data for HoTmCdNi after structural relaxation, as listed in Alexandria.

## Properties
**Energy relative to the lowest polymorph listed for this composition**: 0.000 eV per atom
**Mass density**: 9.5 g/cm3

```
data_HoTmCdNi
_cell_length_a 3.418
_cell_length_b 3.418
_cell_length_c 7.568
_cell_angle_alpha 90.00
_cell_angle_beta 90.00
_cell_angle_gamma 90.00
_space_group_name_H-M_alt 'P 1'
_space_group_IT_number 1
loop_
_space_group_symop_operation_xyz
'x,y,z'
loop_
_atom_site_label
_atom_site_type_symbol
_atom_site_fract_x
_atom_site_fract_y
_atom_site_fract_z
_atom_site_occupancy
Tm1 Tm 0.500 0.500 0.360 1
Cd1 Cd 0.000 0.000 0.075 1
Ni1 Ni 0.000 0.000 0.567 1
Ho1 Ho 0.500 0.500 0.783 1
```

No. 3
First-principles (PBE-GGA) data for YHoCdNi after structural relaxation, as listed in Alexandria.

## Properties
**Energy relative to the lowest polymorph listed for this composition**: 0.102 eV per atom
**Mass density**: 7.8 g/cm3

```
data_YHoCdNi
_cell_length_a 5.049
_cell_length_b 5.049
_cell_length_c 5.049
_cell_angle_alpha 60.00
_cell_angle_beta 60.00
_cell_angle_gamma 60.00
_space_group_name_H-M_alt 'P 1'
_space_group_IT_number 1
loop_
_space_group_symop_operation_xyz
'x,y,z'
loop_
_atom_site_label
_atom_site_type_symbol
_atom_site_fract_x
_atom_site_fract_y
_atom_site_fract_z
_atom_site_occupancy
Ni1 Ni 0.500 0.500 0.500 1
Y1 Y 0.250 0.250 0.250 1
Cd1 Cd 0.000 0.000 0.000 1
Ho1 Ho 0.750 0.750 0.750 1
```

No. 4
First-principles (PBE-GGA) data for YHoCdNi after structural relaxation, as listed in Alexandria.

## Properties
**Energy relative to the lowest polymorph listed for this composition**: 0.000 eV per atom
**Mass density**: 7.8 g/cm3

```
data_YHoCdNi
_cell_length_a 3.452
_cell_length_b 3.452
_cell_length_c 7.610
_cell_angle_alpha 90.00
_cell_angle_beta 90.00
_cell_angle_gamma 90.00
_space_group_name_H-M_alt 'P 1'
_space_group_IT_number 1
loop_
_space_group_symop_operation_xyz
'x,y,z'
loop_
_atom_site_label
_atom_site_type_symbol
_atom_site_fract_x
_atom_site_fract_y
_atom_site_fract_z
_atom_site_occupancy
Ni1 Ni 0.000 0.000 0.577 1
Y1 Y 0.500 0.500 0.358 1
Ho1 Ho 0.500 0.500 0.783 1
Cd1 Cd 0.000 0.000 0.067 1
```

No. 5
First-principles (PBE-GGA) data for HoZnCdNi after structural relaxation, as listed in Alexandria.

## Properties
**Mass density**: 9.1 g/cm3
**Calculated total energy**: -13.50 eV per cell

```
data_HoZnCdNi
_cell_length_a 4.698
_cell_length_b 4.698
_cell_length_c 4.698
_cell_angle_alpha 60.00
_cell_angle_beta 60.00
_cell_angle_gamma 60.00
_space_group_name_H-M_alt 'P 1'
_space_group_IT_number 1
loop_
_space_group_symop_operation_xyz
'x,y,z'
loop_
_atom_site_label
_atom_site_type_symbol
_atom_site_fract_x
_atom_site_fract_y
_atom_site_fract_z
_atom_site_occupancy
Ho1 Ho 0.250 0.250 0.250 1
Cd1 Cd 0.750 0.750 0.750 1
Zn1 Zn 0.000 0.000 0.000 1
Ni1 Ni 0.500 0.500 0.500 1
```

No. 6
First-principles (PBE-GGA) data for Ho2NpCdO8 after structural relaxation, as listed in Alexandria.

## Properties
**Mass density**: 7.5 g/cm3
**Uncorrected formation energy**: -2.53 eV/atom

```
data_Ho2NpCdO8
_cell_length_a 5.043
_cell_length_b 5.045
_cell_length_c 7.074
_cell_angle_alpha 87.32
_cell_angle_beta 92.64
_cell_angle_gamma 92.79
_space_group_name_H-M_alt 'P 1'
_space_group_IT_number 1
loop_
_space_group_symop_operation_xyz
'x,y,z'
loop_
_atom_site_label
_atom_site_type_symbol
_atom_site_fract_x
_atom_site_fract_y
_atom_site_fract_z
_atom_site_occupancy
Ho1 Ho 0.518 0.483 0.258 1
Ho2 Ho 0.482 0.517 0.742 1
O1 O 0.693 0.693 0.500 1
O2 O 0.824 0.177 0.228 1
O3 O 0.307 0.307 0.500 1
O4 O 0.292 0.290 0.000 1
Cd1 Cd 0.000 0.000 0.500 1
O5 O 0.199 0.799 0.192 1
O6 O 0.708 0.710 0.000 1
Np1 Np 0.000 0.000 0.000 1
O7 O 0.801 0.201 0.808 1
O8 O 0.176 0.823 0.772 1
```

Look up the mass density of the third one. 7.8 g/cm3

What is the mass density in the sixth record? 7.5 g/cm3

Which value of mass density does entry 3 give? 7.8 g/cm3

Number 2 is which compound? HoTmCdNi